The following is a PBE calculation of crystalline Pr2O2F at its relaxed geometry, from Alexandria.

Lattice parameters (Å, degrees): 4.1931 4.1931 5.1753 90.00 90.00 120.00
Space group P-3m1 (No. 164)
Unique sites:
Pr (0.3333, 0.6667, 0.2446)
O (0.3333, 0.6667, 0.7325)
F (0.0000, 0.0000, 0.0000)

Calculated values
VASP energy = -7.49 eV per atom
ΔE_f (raw) = -3223 meV/atom

***

The following is a PBE calculation of crystalline PrO2F4 at its relaxed geometry, from Alexandria.

Lattice parameters (Å, degrees): 5.8338 5.7717 7.0158 90.00 113.06 90.00
Space group C2/m (No. 12)
Unique sites:
Pr (0.0000, 0.0000, 0.0000)
O (0.1912, 0.0000, 0.5803)
F (0.1653, 0.2436, 0.8013)

Calculated values
VASP energy = -4.81 eV per atom
ΔE_f (raw) = -1641 meV/atom

***

The following is a PBE calculation of crystalline PrPuO4F at its relaxed geometry, from Alexandria.

Lattice parameters (Å, degrees): 10.0695 7.2945 6.7485 90.00 95.87 90.00
Space group C2/m (No. 12)
Unique sites:
Pr (0.1917, 0.0000, 0.0720)
Pu (0.1404, 0.5000, 0.3781)
O (0.0533, 0.5000, 0.6956)
O (0.1930, 0.3154, 0.1735)
O (0.1940, 0.0000, 0.4778)
F (0.0231, 0.0000, 0.8168)

Calculated values
VASP energy = -8.66 eV per atom
ΔE_f (raw) = -2830 meV/atom

***

The following is a PBE calculation of crystalline PrReO4F2 at its relaxed geometry, from Alexandria.

Lattice parameters (Å, degrees): 4.7475 5.5283 5.6306 87.47 75.02 68.91
Space group P1 (No. 1)
Unique sites:
Pr (0.0000, 0.0000, 0.0000)
Re (0.8465, 0.5423, 0.5472)
O (0.0585, 0.6552, 0.2874)
O (0.4543, 0.7471, 0.6289)
O (0.9261, 0.2088, 0.6169)
O (0.9718, 0.6287, 0.7858)
F (0.4593, 0.0407, 0.0448)
F (0.7351, 0.3773, 0.2427)

Calculated values
VASP energy = -7.65 eV per atom
ΔE_f (raw) = -2553 meV/atom

***

The following is a PBE calculation of crystalline Pr4Se3O10F6 at its relaxed geometry, from Alexandria.

Lattice parameters (Å, degrees): 22.6810 7.2010 8.4674 90.00 99.69 90.00
Space group C2/c (No. 15)
Unique sites:
Pr (0.1296, 0.0838, 0.0282)
Pr (0.2133, 0.4352, 0.6662)
Se (0.0000, 0.1076, 0.7500)
Se (0.0943, 0.4240, 0.3604)
O (0.0218, 0.2278, 0.9183)
O (0.0608, 0.0232, 0.2395)
O (0.1184, 0.3586, 0.1877)
O (0.1278, 0.2668, 0.5053)
O (0.1461, 0.3942, 0.8969)
F (0.1785, 0.0293, 0.7981)
F (0.2242, 0.2384, 0.1309)
F (0.2454, 0.1057, 0.5829)

Calculated values
VASP energy = -6.50 eV per atom
ΔE_f (raw) = -2566 meV/atom

***

The following is a PBE calculation of crystalline PrSeO4F at its relaxed geometry, from Alexandria.

Lattice parameters (Å, degrees): 9.5422 7.4883 6.9332 90.00 105.75 90.00
Space group C2/m (No. 12)
Unique sites:
Pr (0.2076, 0.0000, 0.1242)
Se (0.1502, 0.5000, 0.2764)
O (0.0248, 0.5000, 0.7370)
O (0.1932, 0.3274, 0.1451)
O (0.2464, 0.0000, 0.4911)
F (0.0224, 0.0000, 0.8258)

Calculated values
VASP energy = -6.31 eV per atom
ΔE_f (raw) = -2033 meV/atom